DFT (PBE) results for crystalline CeMg10Zn2 at its relaxed geometry.

a b c (Å): 5.7793 14.0742 14.1955
angles (deg): 90.00 90.00 90.00
Closest atoms and distances in Å follow each position.
Space group Fmmm (No. 69)
Unique sites:
Ce 0.0000 0.0000 0.0000  16 Mg 3.48-3.83, 4 Zn 3.80
Mg 0.0000 0.1113 0.3971  2 Zn 2.83, 5 Mg 2.92-3.13
Mg 0.0000 0.1797 0.1683  2 Zn 2.96, 6 Mg 3.05-3.18
Mg 0.2500 0.0000 0.2500  10 Mg 2.89-3.14
Zn 0.2500 0.2500 0.0000  8 Mg 2.83-2.96, 2 Zn 2.89

Calculated values
- formation energy from the elements (eV/atom) = -0.06